Computed, not measured: a geometry-optimized Tl3SeCl structure at the PBE level of DFT.

Geometry as extended XYZ:
```
5
Lattice="6.203 0.000 0.000 0.000 6.203 0.000 0.000 0.000 6.203" Properties=species:S:1:pos:R:3 pbc="T T T"
Se 0.000 0.000 0.000
Tl 3.101 0.000 0.000
Tl 0.000 0.000 3.101
Tl 0.000 3.101 0.000
Cl 3.101 3.101 3.101
```

spin magnetization	0.000	μB/atom
distance to the lowest polymorph of the same formula	294	meV per atom
calculated total energy	-2.752	eV/atom
formation energy without anion corrections	-265.9	meV per atom



Computed, not measured: a geometry-optimized TlSeCl6 structure at the PBE level of DFT.

Geometry as extended XYZ:
```
8
Lattice="6.796 0.000 0.000 3.398 5.886 0.000 3.398 1.962 6.187" Properties=species:S:1:pos:R:3 pbc="T T T"
Cl 8.461 6.887 4.828
Cl 5.132 0.961 1.359
Cl 3.398 3.964 1.359
Tl 6.796 3.924 3.093
Cl 1.664 0.961 1.359
Se 0.000 0.000 0.000
Cl 10.195 3.883 4.828
Cl 11.929 6.887 4.828
```

spin magnetization	0.000	μB/atom
calculated total energy	-2.457	eV/atom
formation energy without anion corrections	-341.2	meV per atom



Computed, not measured: a geometry-optimized TlSe2Cl structure at the PBE level of DFT.

Geometry as extended XYZ:
```
4
Lattice="-5.256 -4.966 0.444 -4.093 -4.113 4.338 -6.680 -1.555 2.335" Properties=species:S:1:pos:R:3 pbc="T T T"
Tl -4.007 -2.658 1.779
Se -8.139 -5.399 3.614
Cl -12.022 -7.975 5.338
Se -15.905 -10.551 7.062
```

spin magnetization	0.000	μB/atom
distance to the lowest polymorph of the same formula	479	meV per atom
calculated total energy	-2.671	eV/atom
formation energy without anion corrections	124.5	meV per atom



Computed, not measured: a geometry-optimized TlSe2Cl structure at the PBE level of DFT.

Geometry as extended XYZ:
```
4
Lattice="-2.133 1.994 1.274 1.080 -0.706 2.913 6.098 6.897 -0.589" Properties=species:S:1:pos:R:3 pbc="T T T"
Se 5.985 6.769 -0.578
Tl 0.998 2.368 1.946
Se 3.162 3.577 -0.305
Cl 4.047 5.817 1.652
```

spin magnetization	0.000	μB/atom
distance to the lowest polymorph of the same formula	715	meV per atom
calculated total energy	-2.434	eV/atom
formation energy without anion corrections	361.3	meV per atom



Computed, not measured: a geometry-optimized Tl3SeCl structure at the PBE level of DFT.

Geometry as extended XYZ:
```
10
Lattice="4.253 0.000 0.000 -2.127 6.142 0.000 0.000 0.000 12.853" Properties=species:S:1:pos:R:3 pbc="T T T"
Tl 0.000 0.707 9.639
Se 2.127 2.992 9.639
Cl 0.000 0.000 0.000
Tl 0.000 3.926 7.524
Tl 0.000 3.926 11.755
Cl 0.000 0.000 6.426
Tl 2.127 5.435 3.213
Tl 2.127 2.215 1.098
Se 0.000 3.150 3.213
Tl 2.127 2.215 5.328
```

spin magnetization	0.000	μB/atom
distance to the lowest polymorph of the same formula	0	meV per atom
calculated total energy	-3.046	eV/atom
formation energy without anion corrections	-560.1	meV per atom



Computed, not measured: a geometry-optimized Tl7Se3Cl structure at the PBE level of DFT.

Geometry as extended XYZ:
```
11
Lattice="7.031 -0.211 -0.904 -1.109 7.340 -0.973 -0.271 -0.793 7.440" Properties=species:S:1:pos:R:3 pbc="T T T"
Se -0.917 5.475 0.956
Tl 4.476 5.264 4.643
Tl 3.716 6.424 1.380
Cl 2.826 3.168 2.781
Tl 1.935 -0.087 4.182
Tl -0.690 3.274 3.233
Tl 1.175 1.072 0.920
Tl 1.478 4.347 -0.404
Se 3.516 -0.105 -0.452
Se -0.463 1.073 5.510
Tl 4.173 1.990 5.967
```

spin magnetization	0.000	μB/atom
calculated total energy	-3.030	eV/atom
formation energy without anion corrections	-406.3	meV per atom



Computed, not measured: a geometry-optimized TlSeCl4 structure at the PBE level of DFT.

Geometry as extended XYZ:
```
12
Lattice="-4.641 -3.192 -0.022 8.328 -2.171 2.855 -2.411 3.440 9.649" Properties=species:S:1:pos:R:3 pbc="T T T"
Se 5.994 -1.273 4.821
Cl 3.703 -2.912 4.833
Cl 2.351 -0.981 9.545
Cl -1.075 -0.942 2.937
Cl -2.427 0.990 7.649
Tl -0.755 -1.431 8.930
Tl 2.031 -0.492 3.552
Cl 0.237 2.067 9.918
Cl 1.039 -3.990 2.564
Se -4.718 -0.650 7.661
Cl 0.204 -2.799 5.906
Cl 1.072 0.876 6.576
```

spin magnetization	0.000	μB/atom
distance to the lowest polymorph of the same formula	52	meV per atom
calculated total energy	-2.650	eV/atom
formation energy without anion corrections	-443.9	meV per atom



Computed, not measured: a geometry-optimized Tl8Se6Cl structure at the PBE level of DFT.

Geometry as extended XYZ:
```
15
Lattice="8.135 -1.055 -1.090 -1.308 8.099 -1.090 -1.308 -1.350 8.059" Properties=species:S:1:pos:R:3 pbc="T T T"
Se 5.712 4.166 2.199
Tl -0.411 4.153 5.428
Se 1.533 3.683 -0.027
Se 3.986 2.010 5.907
Tl 4.164 5.434 -0.106
Tl 3.921 4.046 4.178
Tl 5.302 -0.246 4.325
Tl 5.930 1.541 0.452
Tl 0.217 5.939 1.554
Se 3.634 -0.080 1.645
Se 1.885 5.774 4.235
Se -0.193 1.527 3.681
Cl 0.000 0.000 0.000
Tl 1.355 0.260 5.986
Tl 1.597 1.648 1.702
```

spin magnetization	0.000	μB/atom
calculated total energy	-3.118	eV/atom
formation energy without anion corrections	-339.3	meV per atom



Computed, not measured: a geometry-optimized Tl2Se2Cl structure at the PBE level of DFT.

Geometry as extended XYZ:
```
10
Lattice="8.546 0.000 0.000 0.000 8.546 0.000 0.000 0.000 4.882" Properties=species:S:1:pos:R:3 pbc="T T T"
Cl 0.000 0.000 0.000
Se 7.728 3.455 2.441
Tl 5.998 1.725 0.000
Se 5.091 7.728 2.441
Cl 4.273 4.273 0.000
Se 3.455 0.818 2.441
Tl 6.820 5.998 0.000
Tl 1.725 2.548 0.000
Tl 2.548 6.820 0.000
Se 0.818 5.091 2.441
```

spin magnetization	0.200	μB/atom
distance to the lowest polymorph of the same formula	142	meV per atom
calculated total energy	-3.044	eV/atom
formation energy without anion corrections	-334.3	meV per atom



Computed, not measured: a geometry-optimized UTlSe2Cl structure at the PBE level of DFT.

Geometry as extended XYZ:
```
10
Lattice="-1.922 -3.664 -0.009 7.315 -3.828 -3.850 1.441 -0.779 8.910" Properties=species:S:1:pos:R:3 pbc="T T T"
U 6.817 -4.755 4.172
Se 4.787 -6.008 -2.805
Tl 1.229 -4.162 5.125
Se 1.066 -1.734 2.782
U 0.017 -3.515 0.878
Se 5.768 -6.536 2.268
Cl 2.264 -4.693 0.430
Tl 5.605 -4.108 -0.075
Se 2.046 -2.262 7.855
Cl 4.570 -3.577 4.620
```

spin magnetization	0.400	μB/atom
calculated total energy	-5.607	eV/atom
formation energy without anion corrections	-1112.7	meV per atom



Computed, not measured: a geometry-optimized ZrTlSe2Cl structure at the PBE level of DFT.

Geometry as extended XYZ:
```
10
Lattice="-2.927 0.602 2.489 -5.163 -5.666 -4.701 4.092 -5.069 6.038" Properties=species:S:1:pos:R:3 pbc="T T T"
Tl -0.719 -4.441 4.786
Cl -0.558 -6.846 2.519
Tl -3.279 -5.692 -0.960
Se -6.337 -4.543 -1.795
Zr -2.283 -1.288 2.184
Se 0.135 -2.422 2.263
Zr -1.715 -8.845 1.642
Cl -3.440 -3.287 1.307
Se -4.133 -7.711 1.563
Se 2.338 -5.590 5.621
```

spin magnetization	0.000	μB/atom
distance to the lowest polymorph of the same formula	0	meV per atom
calculated total energy	-5.150	eV/atom
formation energy without anion corrections	-1204.2	meV per atom



Computed, not measured: a geometry-optimized ZrTl2Se2Cl2 structure at the PBE level of DFT.

Geometry as extended XYZ:
```
7
Lattice="4.030 0.000 0.000 0.000 6.910 0.283 2.013 3.131 7.855" Properties=species:S:1:pos:R:3 pbc="T T T"
Se 2.013 3.226 5.285
Cl 4.028 4.823 7.918
Tl 2.016 6.711 5.131
Cl 2.015 5.218 0.220
Tl 4.028 3.330 3.007
Zr 0.000 0.000 0.000
Se 4.031 6.815 2.853
```

spin magnetization	0.000	μB/atom
calculated total energy	-4.408	eV/atom
formation energy without anion corrections	-987.5	meV per atom



> The highest spin magnetization belongs to which entry?

UTlSe2Cl



> calculated total energy of number 3 (TlSe2Cl)?

-2.671 eV/atom



> Which of these has the highest calculated total energy?

number 4



> Which value of formation energy without anion corrections does entry 2 give?

-341.2 meV per atom